Record 1
Here is a geometry-optimized ScCu structure from Alexandria. Energies are from PBE.

```
2
Lattice="3.258 0.000 0.000 0.000 3.258 0.000 0.000 0.000 3.258" Properties=species:S:1:pos:R:3 pbc="T T T"
Sc 0.000 0.000 0.000
Cu 1.629 1.629 1.629
```

ΔE_f, eV/f.u.: -0.56

=====

Record 2
Here is a geometry-optimized TiCoPdRh structure from Alexandria. Energies are from PBE.

```
16
Lattice="6.096 0.000 0.000 0.000 6.096 0.000 0.000 0.000 6.096" Properties=species:S:1:pos:R:3 pbc="T T T"
Ti 0.000 0.000 0.000
Ti 0.000 3.048 3.048
Ti 3.048 0.000 3.048
Ti 3.048 3.048 0.000
Co 0.000 0.000 3.048
Co 0.000 3.048 0.000
Co 3.048 0.000 0.000
Co 3.048 3.048 3.048
Pd 1.524 1.524 1.524
Pd 1.524 4.572 4.572
Pd 4.572 1.524 4.572
Pd 4.572 4.572 1.524
Rh 1.524 1.524 4.572
Rh 1.524 4.572 1.524
Rh 4.572 1.524 1.524
Rh 4.572 4.572 4.572
```

ΔE_f, eV/f.u.: -1.20

=====

Record 3
Here is a geometry-optimized Ac2IrPt structure from Alexandria. Energies are from PBE.

```
12
Lattice="4.296 0.000 0.000 -2.148 3.720 0.000 0.000 0.000 22.225" Properties=species:S:1:pos:R:3 pbc="T T T"
Ac 0.000 0.000 0.000
Ac 0.000 0.000 3.962
Ac 0.000 2.480 14.817
Ac 0.000 2.480 18.779
Ac 2.148 1.240 7.408
Ac 2.148 1.240 11.371
Ir 0.000 0.000 13.077
Ir 0.000 2.480 5.668
Ir 2.148 1.240 20.485
Pt 0.000 0.000 9.420
Pt 0.000 2.480 2.012
Pt 2.148 1.240 16.828
```

ΔE_f, eV/f.u.: -3.04

=====

Record 4
Here is a geometry-optimized BaSi2Br structure from Alexandria. Energies are from PBE.

```
8
Lattice="5.327 0.000 0.000 0.000 5.327 0.000 0.000 0.000 7.565" Properties=species:S:1:pos:R:3 pbc="T T T"
Ba 0.000 0.000 0.000
Ba 2.663 2.663 3.783
Si 0.000 0.000 3.783
Si 0.000 2.663 1.891
Si 2.663 0.000 5.674
Si 2.663 2.663 0.000
Br 0.000 2.663 5.674
Br 2.663 0.000 1.891
```

Offset from the most stable computed form, eV/f.u.: 2.241

=====

Record 5
Here is a geometry-optimized PrSm4Y structure from Alexandria. Energies are from PBE.

```
12
Lattice="3.452 -6.160 0.000 3.452 6.160 0.000 0.000 0.000 9.768" Properties=species:S:1:pos:R:3 pbc="T T T"
Pr 3.452 3.955 7.326
Pr 3.452 -3.955 2.442
Sm 1.804 1.287 7.326
Sm 3.452 1.895 0.707
Sm 3.452 1.895 4.177
Sm 1.804 -1.287 2.442
Sm 5.100 1.287 7.326
Sm 3.452 -1.895 5.591
Sm 3.452 -1.895 9.061
Sm 5.100 -1.287 2.442
Y 0.000 0.000 0.000
Y 0.000 0.000 4.884
```

ΔE_f, eV/f.u.: 1.41
Offset from the most stable computed form, eV/f.u.: 1.328

=====

Record 6
Here is a geometry-optimized Li2La2In5 structure from Alexandria. Energies are from PBE.

```
9
Lattice="4.809 0.000 0.000 0.000 4.809 0.000 0.000 0.000 9.863" Properties=species:S:1:pos:R:3 pbc="T T T"
Li 0.000 0.000 1.215
Li 0.000 0.000 8.648
La 2.404 2.404 0.000
La 2.404 2.404 4.931
In 0.000 0.000 4.931
In 0.000 2.404 2.507
In 0.000 2.404 7.356
In 2.404 0.000 2.507
In 2.404 0.000 7.356
```

ΔE_f, eV/f.u.: -3.35

=====

Record 7
Here is a geometry-optimized NaPt3Pb2O8 structure from Alexandria. Energies are from PBE.

```
14
Lattice="3.270 1.888 5.929 -3.270 1.888 5.929 0.000 -3.776 5.929" Properties=species:S:1:pos:R:3 pbc="T T T"
Na 0.000 0.000 0.000
Pt 0.000 -1.897 9.985
Pt -1.643 0.948 9.985
Pt 1.643 0.948 9.985
Pb 0.000 0.000 6.880
Pb 0.000 0.000 13.931
O 0.000 -1.676 5.089
O -1.451 0.838 5.089
O 0.000 0.000 3.028
O -1.462 -0.844 8.957
O 1.451 0.838 5.089
O 0.000 0.000 10.980
O 1.462 -0.844 8.957
O 0.000 1.688 8.957
```

DFT total energy, eV/atom: -5.49

=====

Record 8
Here is a geometry-optimized ZrTl2PdI structure from Alexandria. Energies are from PBE.

```
5
Lattice="5.313 0.000 0.000 0.000 5.313 0.000 0.000 0.000 5.475" Properties=species:S:1:pos:R:3 pbc="T T T"
Zr 0.000 0.000 0.000
Tl 0.000 2.657 2.737
Tl 2.657 0.000 2.737
Pd 2.657 2.657 2.737
I 2.657 2.657 0.000
```

DFT total energy, eV/atom: -3.43

=====

Computed Fermi-level density of states, in the same sequence as the records: 1.3, 6.0, 2.5, 1.9, 9.0, 5.7, 5.0, 6.2 states/eV/f.u..